(1)
# Cs3TeOs (PBEsol, relaxed)
data_Cs3TeOs
_chemical_formula_sum 'Cs3 Te1 Os1'
_symmetry_space_group_name_H-M 'P 1'
_symmetry_Int_Tables_number 1
_cell_length_a 5.686
_cell_length_b 5.686
_cell_length_c 5.686
_cell_angle_alpha 90.00
_cell_angle_beta 90.00
_cell_angle_gamma 90.00
loop_
_symmetry_equiv_pos_as_xyz
'x,y,z'
loop_
_atom_site_label
_atom_site_type_symbol
_atom_site_fract_x
_atom_site_fract_y
_atom_site_fract_z
Os1 Os 0.000 0.000 0.000
Cs1 Cs 0.500 0.000 0.000
Cs2 Cs 0.000 0.500 0.000
Cs3 Cs 0.000 0.000 0.500
Te1 Te 0.500 0.500 0.500
# - space-group type = Pm-3m (221)
# - raw formation energy (eV/atom) = 0.694

---

(2)
# CsTiOs3 (PBEsol, relaxed)
data_CsTiOs3
_chemical_formula_sum 'Cs1 Ti1 Os3'
_symmetry_space_group_name_H-M 'P 1'
_symmetry_Int_Tables_number 1
_cell_length_a 4.735
_cell_length_b 4.735
_cell_length_c 4.735
_cell_angle_alpha 90.00
_cell_angle_beta 90.00
_cell_angle_gamma 90.00
loop_
_symmetry_equiv_pos_as_xyz
'x,y,z'
loop_
_atom_site_label
_atom_site_type_symbol
_atom_site_fract_x
_atom_site_fract_y
_atom_site_fract_z
Os1 Os 0.000 0.000 0.500
Os2 Os 0.500 0.000 0.000
Os3 Os 0.000 0.500 0.000
Cs1 Cs 0.500 0.500 0.500
Ti1 Ti 0.000 0.000 0.000
# - space-group type = Pm-3m (221)
# - DFT total energy (eV/atom) = -7.0019

---

Number 1: total magnetic moment 0.1 μB/f.u., calculated volume 183.8 Å³ per cell. Number 2: total magnetic moment 2.5 μB/f.u., calculated volume 106.1 Å³ per cell.